# CrN2F

An optimized crystal structure of CrN2F (PBE with a Hubbard U, Alexandria).

abc: 5.113 5.113 5.113
angles: 90.00 90.00 90.00
Space group Fm-3m (No. 225)
Asymmetric unit:
Cr (0.000, 0.000, 0.000) x4
N (0.250, 0.250, 0.250) x8
F (0.000, 0.000, 0.500) x4

Results
DOS(E_F) = 9.232 states/eV/cell
Final energy = -4.7879 eV per atom
Total magnetic moment = 0.00 μB per formula unit